1.
SrGeBi2Mo | Alexandria | GGA-PBE | optimized geometry; space-group type = No. 123; energy of formation from the pure elements = 210 kJ/mol of formula units; magnetic moment = 2.75 μB/f.u.; E above lowest polymorph = 0 meV/atom
1.0
5.7190 0.0000 0.0000
0.0000 5.7190 0.0000
0.0000 0.0000 4.8602
Sr Ge Bi Mo
1 1 2 1
Direct
0.0000 0.0000 0.0000 Sr
0.5000 0.5000 0.5000 Ge
0.0000 0.5000 0.5000 Bi
0.5000 0.0000 0.5000 Bi
0.5000 0.5000 0.0000 Mo

***

2.
SrGeBi2Mo | Alexandria | GGA-PBE | optimized geometry; space-group type = No. 123; energy of formation from the pure elements = 835 kJ/mol of formula units; magnetic moment = 3.79 μB/f.u.; E above lowest polymorph = 1296 meV/atom
1.0
6.0033 0.0000 0.0000
0.0000 6.0033 0.0000
0.0000 0.0000 5.5587
Sr Ge Bi Mo
1 1 2 1
Direct
0.0000 0.0000 0.0000 Sr
0.5000 0.5000 0.5000 Ge
0.0000 0.5000 0.0000 Bi
0.5000 0.0000 0.0000 Bi
0.0000 0.0000 0.5000 Mo

***

3.
Ge2BiN | Alexandria | GGA-PBE | optimized geometry; space-group type = No. 225; magnetic moment = 1.18 μB/f.u.; E above lowest polymorph = 778 meV/atom
1.0
0.0000 3.4054 3.4054
3.4054 0.0000 3.4054
3.4054 3.4054 0.0000
Ge Bi N
2 1 1
Direct
0.2500 0.2500 0.2500 Ge
0.7500 0.7500 0.7500 Ge
0.0000 0.0000 0.0000 Bi
0.5000 0.5000 0.5000 N

***

4.
Ge3BiN | Alexandria | GGA-PBE | optimized geometry; space-group type = No. 221; magnetic moment = 0.00 μB/f.u.; E above lowest polymorph = 1639 meV/atom
1.0
5.5170 0.0000 0.0000
0.0000 5.5170 0.0000
0.0000 0.0000 5.5170
Ge Bi N
3 1 1
Direct
0.0000 0.0000 0.5000 Ge
0.0000 0.5000 0.0000 Ge
0.5000 0.0000 0.0000 Ge
0.0000 0.0000 0.0000 Bi
0.5000 0.5000 0.5000 N

***

5.
GeBiN | Alexandria | GGA-PBE | optimized geometry; space-group type = No. 131; uncorrected energy = -5.146 eV/atom; magnetic moment = 0.00 μB/f.u.
1.0
7.6617 0.0000 0.0000
0.0000 7.6617 0.0000
0.0000 0.0000 4.2179
Ge Bi N
4 4 4
Direct
0.0000 0.1941 0.0000 Ge
0.0000 0.8059 0.0000 Ge
0.1941 0.0000 0.5000 Ge
0.8059 0.0000 0.5000 Ge
0.2611 0.5000 0.0000 Bi
0.5000 0.2611 0.5000 Bi
0.5000 0.7389 0.5000 Bi
0.7389 0.5000 0.0000 Bi
0.0000 0.1750 0.5000 N
0.0000 0.8250 0.5000 N
0.1750 0.0000 0.0000 N
0.8250 0.0000 0.0000 N

***

6.
Ge3BiN | Alexandria | GGA-PBE | optimized geometry; space-group type = No. 221; magnetic moment = 0.00 μB/f.u.; E above lowest polymorph = 0 meV/atom
1.0
4.5927 0.0000 0.0000
0.0000 4.5927 0.0000
0.0000 0.0000 4.5927
Ge Bi N
3 1 1
Direct
0.0000 0.0000 0.5000 Ge
0.0000 0.5000 0.0000 Ge
0.5000 0.0000 0.0000 Ge
0.5000 0.5000 0.5000 Bi
0.0000 0.0000 0.0000 N

***

7.
GeBi2N | Alexandria | GGA-PBE | optimized geometry; space-group type = No. 225; magnetic moment = 0.00 μB/f.u.; E above lowest polymorph = 412 meV/atom
1.0
0.0000 3.4805 3.4805
3.4805 0.0000 3.4805
3.4805 3.4805 0.0000
Ge Bi N
1 2 1
Direct
0.0000 0.0000 0.0000 Ge
0.2500 0.2500 0.2500 Bi
0.7500 0.7500 0.7500 Bi
0.5000 0.5000 0.5000 N

***

8.
GeBiN3 | Alexandria | GGA-PBE | optimized geometry; space-group type = No. 221; uncorrected energy = -5.601 eV/atom; magnetic moment = 0.00 μB/f.u.
1.0
3.9005 0.0000 0.0000
0.0000 3.9005 0.0000
0.0000 0.0000 3.9005
Ge Bi N
1 1 3
Direct
0.0000 0.0000 0.0000 Ge
0.5000 0.5000 0.5000 Bi
0.0000 0.0000 0.5000 N
0.0000 0.5000 0.0000 N
0.5000 0.0000 0.0000 N

***

9.
GeBiN3 | Alexandria | GGA-PBE | optimized geometry; space-group type = No. 221; uncorrected energy = -4.689 eV/atom; magnetic moment = 2.10 μB/f.u.
1.0
4.3053 0.0000 0.0000
0.0000 4.3053 0.0000
0.0000 0.0000 4.3053
Ge Bi N
1 1 3
Direct
0.0000 0.0000 0.0000 Ge
0.5000 0.5000 0.5000 Bi
0.0000 0.5000 0.5000 N
0.5000 0.0000 0.5000 N
0.5000 0.5000 0.0000 N

***

10.
GeBi3N | Alexandria | GGA-PBE | optimized geometry; space-group type = No. 221; magnetic moment = 0.00 μB/f.u.; E above lowest polymorph = 0 meV/atom
1.0
4.9678 0.0000 0.0000
0.0000 4.9678 0.0000
0.0000 0.0000 4.9678
Ge Bi N
1 3 1
Direct
0.0000 0.0000 0.0000 Ge
0.0000 0.5000 0.5000 Bi
0.5000 0.0000 0.5000 Bi
0.5000 0.5000 0.0000 Bi
0.5000 0.5000 0.5000 N

***

11.
Ge2BiN | Alexandria | GGA-PBE | optimized geometry; space-group type = No. 122; magnetic moment = 0.00 μB/f.u.; E above lowest polymorph = 0 meV/atom
1.0
-3.2585 3.2585 3.7488
3.2585 -3.2585 3.7488
3.2585 3.2585 -3.7488
Ge Bi N
4 2 2
Direct
0.0116 0.6250 0.8866 Ge
0.3750 0.2616 0.3866 Ge
0.7384 0.1250 0.1134 Ge
0.8750 0.9884 0.6134 Ge
0.2500 0.7500 0.5000 Bi
0.5000 0.5000 0.0000 Bi
0.0000 0.0000 0.0000 N
0.7500 0.2500 0.5000 N

***

12.
GeBi2N | Alexandria | GGA-PBE | optimized geometry; space-group type = No. 122; magnetic moment = 0.00 μB/f.u.; E above lowest polymorph = 0 meV/atom
1.0
-2.9078 2.9078 6.4562
2.9078 -2.9078 6.4562
2.9078 2.9078 -6.4562
Ge Bi N
2 4 2
Direct
0.0000 0.0000 0.0000 Ge
0.7500 0.2500 0.5000 Ge
0.1993 0.6250 0.0743 Bi
0.3750 0.4493 0.5743 Bi
0.5507 0.1250 0.9257 Bi
0.8750 0.8007 0.4257 Bi
0.2500 0.7500 0.5000 N
0.5000 0.5000 0.0000 N